No. 1
The following is a DFT calculation (PBE-GGA) of CaTbPm2Dy4 after structural relaxation.

Structure (POSCAR):
```
CaTbPm2Dy4
1.0
6.251 -3.593 0.000
6.251 3.593 0.000
-4.188 0.000 11.792
Ca Tb Pm Dy
2 2 4 8
Cartesian
3.126 1.796 0.000
3.126 -1.796 0.000
0.000 0.000 0.000
-2.094 0.000 5.896
1.032 1.796 5.896
1.032 -1.796 5.896
6.251 0.000 0.000
4.157 0.000 5.896
3.074 1.801 8.832
2.045 0.000 3.031
0.017 0.000 8.759
5.241 1.801 2.960
3.074 -1.801 8.832
8.297 0.000 3.033
6.270 0.000 8.762
5.241 -1.801 2.960
```

- DOS at the Fermi energy: 11.3 states/eV/f.u.
- Energy of formation: 0.056 eV per atom
- M_tot: 0.000 μB/atom
- ρ: 7.1 g/cm³
- Symmetry: C2/m (12)


No. 2
The following is a DFT calculation (PBE-GGA) of Pr2NdTaN4 after structural relaxation.

Structure (POSCAR):
```
Pr2NdTaN4
1.0
-3.459 3.557 4.953
3.459 -3.557 4.953
3.459 3.557 -4.953
Pr Nd Ta N
4 2 2 8
Cartesian
0.000 0.000 0.000
-1.729 1.779 2.476
0.000 3.557 0.000
1.729 1.779 2.476
3.459 0.000 0.000
0.000 0.000 4.953
1.729 1.779 -2.476
1.729 -1.779 2.476
3.459 -0.287 2.469
3.459 3.271 -2.469
1.742 1.779 -0.307
5.175 1.779 -0.307
-1.717 1.779 5.260
1.717 1.779 5.260
0.000 0.287 7.422
0.000 3.844 2.484
```

- Formation energy without anion corrections: -1214 meV per atom
- DOS at the Fermi energy: 2.0 states/eV/f.u.
- M_tot: 0.000 μB/atom
- ρ: 9.0 g/cm³
- Symmetry: Imma (74)


No. 3
The following is a DFT calculation (PBE-GGA) of Ti3AlO8 after structural relaxation.

Structure (POSCAR):
```
Ti3AlO8
1.0
6.152 -1.870 0.000
6.152 1.870 0.000
-1.943 0.000 6.216
Ti Al O
3 1 8
Cartesian
0.000 0.000 0.000
0.046 0.000 3.617
8.740 0.000 3.557
6.725 0.000 6.110
-0.165 0.000 1.862
0.273 0.000 5.885
2.125 0.000 3.546
4.753 0.000 6.175
6.612 0.000 4.044
8.835 0.000 1.742
8.580 0.000 5.726
10.527 0.000 4.087
```

- Formation energy without anion corrections: -2797 meV per atom
- DOS at the Fermi energy: 5.6 states/eV/f.u.
- M_tot: 0.090 μB/atom
- ρ: 3.5 g/cm³
- Symmetry: Cm (8)


No. 4
The following is a DFT calculation (PBE-GGA) of BaCoSe after structural relaxation.

Structure (POSCAR):
```
BaCoSe
1.0
7.086 0.000 0.000
0.000 7.086 0.000
0.000 0.000 7.086
Ba Co Se
4 4 4
Cartesian
0.000 0.000 0.000
0.000 3.543 3.543
3.543 0.000 3.543
3.543 3.543 0.000
0.000 0.000 3.543
0.000 3.543 0.000
3.543 0.000 0.000
3.543 3.543 3.543
1.771 1.771 5.314
1.771 5.314 1.771
5.314 1.771 1.771
5.314 5.314 5.314
```

- Formation energy without anion corrections: -18 meV per atom
- DOS at the Fermi energy: 6.3 states/eV/f.u.
- M_tot: 0.447 μB/atom
- ρ: 5.1 g/cm³
- Symmetry: F-43m (216)


No. 5
The following is a DFT calculation (PBE-GGA) of CrAs2Au after structural relaxation.

Structure (POSCAR):
```
CrAs2Au
1.0
3.069 0.000 0.000
-1.534 2.657 0.000
0.000 0.000 24.734
Cr As Au
3 6 3
Cartesian
0.000 0.000 0.000
0.000 1.772 16.489
1.534 0.886 8.245
0.000 0.000 6.543
0.000 0.000 18.191
0.000 1.772 9.946
0.000 1.772 23.032
1.534 0.886 1.702
1.534 0.886 14.788
0.000 0.000 12.367
0.000 1.772 4.122
1.534 0.886 20.612
```

- DOS at the Fermi energy: 2.4 states/eV/f.u.
- Energy of formation: 0.109 eV per atom
- M_tot: 0.204 μB/atom
- ρ: 9.9 g/cm³
- Symmetry: R-3m (166)


No. 6
The following is a DFT calculation (PBE-GGA) of Y2AsIr after structural relaxation.

Structure (POSCAR):
```
Y2AsIr
1.0
3.356 0.000 0.000
0.000 3.589 0.000
0.000 0.000 7.167
Y As Ir
2 1 1
Cartesian
0.000 0.000 1.728
0.000 0.000 5.440
1.678 1.794 3.584
1.678 1.794 0.000
```

- DOS at the Fermi energy: 1.0 states/eV/f.u.
- Energy of formation: -0.918 eV per atom
- M_tot: 0.000 μB/atom
- ρ: 8.6 g/cm³
- Symmetry: Pmmm (47)


No. 7
The following is a DFT calculation (PBE-GGA) of AlRe2RuI after structural relaxation.

Structure (POSCAR):
```
AlRe2RuI
1.0
4.781 0.000 0.000
0.000 4.781 0.000
0.000 0.000 4.633
Al Re Ru I
1 2 1 1
Cartesian
0.000 0.000 0.000
0.000 2.390 2.316
2.390 0.000 2.316
0.000 0.000 2.316
2.390 2.390 0.000
```

- Formation energy without anion corrections: 1577 meV per atom
- DOS at the Fermi energy: 5.5 states/eV/f.u.
- M_tot: 0.038 μB/atom
- ρ: 9.8 g/cm³
- Symmetry: P4/mmm (123)


No. 8
The following is a DFT calculation (PBE-GGA) of Pm2TmSn2Rh5 after structural relaxation.

Structure (POSCAR):
```
Pm2TmSn2Rh5
1.0
10.342 0.000 0.000
0.000 10.342 0.000
0.000 0.000 3.803
Pm Tm Sn Rh
4 2 4 10
Cartesian
1.777 3.395 0.000
3.395 8.566 0.000
6.948 1.777 0.000
8.566 6.948 0.000
0.000 0.000 0.000
5.171 5.171 0.000
1.303 6.475 0.000
3.868 1.303 0.000
6.475 9.039 0.000
9.039 3.868 0.000
0.000 5.171 1.902
0.662 8.208 1.902
2.134 0.662 1.902
3.037 5.833 1.902
4.509 3.037 1.902
5.171 0.000 1.902
5.833 7.306 1.902
7.306 4.509 1.902
8.208 9.680 1.902
9.680 2.134 1.902
```

- DOS at the Fermi energy: 5.9 states/eV/f.u.
- Energy of formation: -0.640 eV per atom
- M_tot: 0.000 μB/atom
- ρ: 9.9 g/cm³
- Symmetry: P4/mbm (127)


No. 9
The following is a DFT calculation (PBE-GGA) of Al2ReF after structural relaxation.

Structure (POSCAR):
```
Al2ReF
1.0
6.079 0.000 0.000
0.000 6.079 0.000
0.000 0.000 6.211
Al Re F
8 4 4
Cartesian
1.129 1.520 0.776
1.520 4.168 2.329
1.520 4.951 5.434
1.911 1.520 3.882
4.168 4.560 3.882
4.560 1.129 5.434
4.560 1.911 2.329
4.951 4.560 0.776
0.000 0.000 3.105
0.000 3.040 4.658
3.040 0.000 1.553
3.040 3.040 0.000
0.000 0.000 0.000
0.000 3.040 1.553
3.040 0.000 4.658
3.040 3.040 3.105
```

- Formation energy without anion corrections: -340 meV per atom
- DOS at the Fermi energy: 2.9 states/eV/f.u.
- M_tot: 0.258 μB/atom
- ρ: 7.5 g/cm³
- Symmetry: I-42d (122)


No. 10
The following is a DFT calculation (PBE-GGA) of Ta2BeCr after structural relaxation.

Structure (POSCAR):
```
Ta2BeCr
1.0
3.149 0.000 0.000
0.000 4.278 0.000
0.000 0.000 8.689
Ta Be Cr
4 2 2
Cartesian
0.000 0.000 0.000
0.000 2.139 1.996
1.575 0.000 6.340
1.575 2.139 4.344
0.000 2.139 6.683
1.575 0.000 2.338
0.000 0.000 4.296
1.575 2.139 8.640
```

- DOS at the Fermi energy: 3.9 states/eV/f.u.
- Energy of formation: 0.149 eV per atom
- M_tot: 0.000 μB/atom
- ρ: 12.0 g/cm³
- Symmetry: Imm2 (44)


No. 11
The following is a DFT calculation (PBE-GGA) of TbSnP after structural relaxation.

Structure (POSCAR):
```
TbSnP
1.0
8.208 0.000 0.000
0.000 4.742 0.000
-2.766 0.000 9.719
Tb Sn P
4 4 4
Cartesian
0.000 0.000 0.000
-1.401 2.371 6.862
4.104 2.371 0.000
2.703 0.000 6.862
-0.041 0.000 3.258
1.327 2.371 4.319
4.063 2.371 3.258
5.431 0.000 4.319
-1.400 2.371 9.583
1.335 2.371 6.936
2.705 0.000 9.583
5.439 0.000 6.936
```

- DOS at the Fermi energy: 0.0 states/eV/f.u.
- Energy of formation: -0.704 eV per atom
- M_tot: 0.000 μB/atom
- ρ: 5.4 g/cm³
- Symmetry: Cm (8)


No. 12
The following is a DFT calculation (PBE-GGA) of KMg2CdPt after structural relaxation.

Structure (POSCAR):
```
KMg2CdPt
1.0
5.128 0.000 0.000
0.000 5.128 0.000
0.000 0.000 5.365
K Mg Cd Pt
1 2 1 1
Cartesian
0.000 0.000 0.000
0.000 2.564 2.682
2.564 0.000 2.682
2.564 2.564 0.000
2.564 2.564 2.682
```

- DOS at the Fermi energy: 1.3 states/eV/f.u.
- Energy of formation: -0.329 eV per atom
- M_tot: 0.000 μB/atom
- ρ: 4.7 g/cm³
- Symmetry: P4/mmm (123)


No. 13
The following is a DFT calculation (PBE-GGA) of LaEr6Th4 after structural relaxation.

Structure (POSCAR):
```
LaEr6Th4
1.0
-1.712 2.922 17.880
1.712 -2.922 17.880
1.712 2.922 -17.880
La Er Th
1 6 4
Cartesian
0.000 0.000 0.000
1.712 0.000 3.490
1.712 0.000 9.547
1.712 0.000 13.165
0.000 2.922 4.715
0.000 2.922 8.333
0.000 2.922 14.390
0.000 0.000 6.529
0.000 0.000 16.257
0.000 0.000 19.502
0.000 0.000 29.231
```

- DOS at the Fermi energy: 16.3 states/eV/f.u.
- Energy of formation: 0.171 eV per atom
- M_tot: 0.000 μB/atom
- ρ: 9.6 g/cm³
- Symmetry: Immm (71)


No. 14
The following is a DFT calculation (PBE-GGA) of Mn2AlP after structural relaxation.

Structure (POSCAR):
```
Mn2AlP
1.0
3.537 0.000 0.000
0.000 3.537 0.000
0.000 0.000 7.929
Mn Al P
4 2 2
Cartesian
0.000 0.000 0.000
0.000 1.769 1.982
1.769 0.000 5.947
1.769 1.769 3.965
0.000 0.000 3.965
1.769 1.769 0.000
0.000 1.769 5.947
1.769 0.000 1.982
```

- DOS at the Fermi energy: 2.7 states/eV/f.u.
- Energy of formation: -0.185 eV per atom
- M_tot: 1.173 μB/atom
- ρ: 5.6 g/cm³
- Symmetry: I-4m2 (119)


No. 15
The following is a DFT calculation (PBE-GGA) of BeTlW2 after structural relaxation.

Structure (POSCAR):
```
BeTlW2
1.0
3.265 0.000 0.000
0.000 4.719 0.000
0.000 0.000 8.686
Be Tl W
2 2 4
Cartesian
0.000 0.000 0.000
1.633 2.360 0.000
0.000 2.360 2.229
1.633 0.000 2.229
0.000 0.000 4.798
0.000 2.360 6.909
1.633 0.000 6.909
1.633 2.360 4.798
```

- DOS at the Fermi energy: 2.2 states/eV/f.u.
- Energy of formation: 0.636 eV per atom
- M_tot: 0.000 μB/atom
- ρ: 14.4 g/cm³
- Symmetry: Cmm2 (35)


No. 16
The following is a DFT calculation (PBE-GGA) of AcPmLuPb after structural relaxation.

Structure (POSCAR):
```
AcPmLuPb
1.0
7.968 0.000 0.000
0.000 7.968 0.000
0.000 0.000 7.968
Ac Pm Lu Pb
4 4 4 4
Cartesian
0.000 0.000 0.000
0.000 3.984 3.984
3.984 0.000 3.984
3.984 3.984 0.000
1.992 1.992 1.992
1.992 5.976 5.976
5.976 1.992 5.976
5.976 5.976 1.992
1.992 1.992 5.976
1.992 5.976 1.992
5.976 1.992 1.992
5.976 5.976 5.976
0.000 0.000 3.984
0.000 3.984 0.000
3.984 0.000 0.000
3.984 3.984 3.984
```

- DOS at the Fermi energy: 6.4 states/eV/f.u.
- Energy of formation: -0.041 eV per atom
- M_tot: 0.000 μB/atom
- ρ: 9.9 g/cm³
- Symmetry: F-43m (216)


No. 17
The following is a DFT calculation (PBE-GGA) of MnVTcPt after structural relaxation.

Structure (POSCAR):
```
MnVTcPt
1.0
6.107 0.000 0.000
0.000 6.107 0.000
0.000 0.000 6.107
Mn V Tc Pt
4 4 4 4
Cartesian
0.000 0.000 0.000
0.000 3.054 3.054
3.054 0.000 3.054
3.054 3.054 0.000
0.000 0.000 3.054
0.000 3.054 0.000
3.054 0.000 0.000
3.054 3.054 3.054
1.527 1.527 4.580
1.527 4.580 1.527
4.580 1.527 1.527
4.580 4.580 4.580
1.527 1.527 1.527
1.527 4.580 4.580
4.580 1.527 4.580
4.580 4.580 1.527
```

- DOS at the Fermi energy: 3.2 states/eV/f.u.
- Energy of formation: -0.217 eV per atom
- M_tot: 1.107 μB/atom
- ρ: 11.6 g/cm³
- Symmetry: F-43m (216)


No. 18
The following is a DFT calculation (PBE-GGA) of Tb2Dy2ThSc5 after structural relaxation.

Structure (POSCAR):
```
Tb2Dy2ThSc5
1.0
10.562 0.000 0.000
0.000 10.562 0.000
0.000 0.000 5.124
Tb Dy Th Sc
4 4 2 10
Cartesian
1.424 3.858 0.000
3.858 9.139 0.000
6.705 1.424 0.000
9.139 6.705 0.000
1.744 7.026 0.000
3.537 1.744 0.000
7.026 8.818 0.000
8.818 3.537 0.000
0.000 0.000 0.000
5.281 5.281 0.000
0.000 5.281 2.562
1.112 1.946 2.562
1.946 9.451 2.562
3.335 4.170 2.562
4.170 7.227 2.562
5.281 0.000 2.562
6.393 3.335 2.562
7.227 6.393 2.562
8.617 1.112 2.562
9.451 8.617 2.562
```

- DOS at the Fermi energy: 17.7 states/eV/f.u.
- Energy of formation: 0.213 eV per atom
- M_tot: 0.000 μB/atom
- ρ: 6.4 g/cm³
- Symmetry: P4/mbm (127)


No. 19
The following is a DFT calculation (PBE-GGA) of Ca4TePt after structural relaxation.

Structure (POSCAR):
```
Ca4TePt
1.0
0.000 4.506 4.506
4.506 0.000 4.506
4.506 4.506 0.000
Ca Te Pt
4 1 1
Cartesian
1.125 1.125 1.125
3.381 3.381 1.125
3.381 1.125 3.381
1.125 3.381 3.381
4.506 4.506 4.506
6.759 6.759 6.759
```

- Formation energy without anion corrections: 79 meV per atom
- DOS at the Fermi energy: 3.6 states/eV/f.u.
- M_tot: 0.000 μB/atom
- ρ: 4.4 g/cm³
- Symmetry: F-43m (216)


No. 20
The following is a DFT calculation (PBE-GGA) of Be2ZnSi after structural relaxation.

Structure (POSCAR):
```
Be2ZnSi
1.0
2.899 0.000 0.000
0.000 4.069 0.000
-1.440 0.000 4.226
Be Zn Si
2 1 1
Cartesian
0.000 0.000 0.000
0.009 2.034 1.270
1.451 0.000 1.793
1.455 2.034 3.169
```

- Formation energy without anion corrections: 273 meV per atom
- DOS at the Fermi energy: 0.6 states/eV/f.u.
- M_tot: 0.000 μB/atom
- ρ: 3.7 g/cm³
- Symmetry: Pm (6)


No. 21
The following is a DFT calculation (PBE-GGA) of CaTlBr2 after structural relaxation.

Structure (POSCAR):
```
CaTlBr2
1.0
5.156 0.000 0.000
0.000 5.156 0.000
0.000 0.000 4.445
Ca Tl Br
1 1 2
Cartesian
0.000 0.000 0.000
2.578 2.578 0.000
0.000 2.578 2.223
2.578 0.000 2.223
```

- Formation energy without anion corrections: -968 meV per atom
- DOS at the Fermi energy: 1.8 states/eV/f.u.
- M_tot: 0.000 μB/atom
- ρ: 5.7 g/cm³
- Symmetry: P4/mmm (123)


No. 22
The following is a DFT calculation (PBE-GGA) of NdCuAg2 after structural relaxation.

Structure (POSCAR):
```
NdCuAg2
1.0
3.458 0.000 0.000
0.000 3.458 0.000
0.000 0.000 6.885
Nd Cu Ag
1 1 2
Cartesian
0.000 0.000 0.000
0.000 0.000 3.443
1.729 1.729 2.069
1.729 1.729 4.816
```

- DOS at the Fermi energy: 2.1 states/eV/f.u.
- Energy of formation: -0.035 eV per atom
- M_tot: 0.000 μB/atom
- ρ: 8.5 g/cm³
- Symmetry: P4/mmm (123)


No. 23
The following is a DFT calculation (PBE-GGA) of TmNi2Au after structural relaxation.

Structure (POSCAR):
```
TmNi2Au
1.0
6.324 0.000 0.000
0.000 6.324 0.000
0.000 0.000 6.324
Tm Ni Au
4 8 4
Cartesian
0.000 0.000 0.000
0.000 3.162 3.162
3.162 0.000 3.162
3.162 3.162 0.000
1.581 1.581 1.581
1.581 1.581 4.743
1.581 4.743 1.581
1.581 4.743 4.743
4.743 1.581 1.581
4.743 1.581 4.743
4.743 4.743 1.581
4.743 4.743 4.743
0.000 0.000 3.162
0.000 3.162 0.000
3.162 0.000 0.000
3.162 3.162 3.162
```

- DOS at the Fermi energy: 1.7 states/eV/f.u.
- Energy of formation: -0.392 eV per atom
- M_tot: 0.000 μB/atom
- ρ: 12.7 g/cm³
- Symmetry: Fm-3m (225)


No. 24
The following is a DFT calculation (PBE-GGA) of Tb4PrSm after structural relaxation.

Structure (POSCAR):
```
Tb4PrSm
1.0
3.390 -6.078 0.000
3.390 6.078 0.000
0.000 0.000 9.782
Tb Pr Sm
8 2 2
Cartesian
1.619 1.251 7.337
3.390 4.202 5.587
3.390 4.202 9.087
1.619 -1.251 2.446
5.161 1.251 7.337
3.390 -4.202 0.696
3.390 -4.202 4.196
5.161 -1.251 2.446
3.390 2.169 2.446
3.390 -2.169 7.337
3.390 0.000 0.000
3.390 0.000 4.891
```

- DOS at the Fermi energy: 8.3 states/eV/f.u.
- Energy of formation: 0.241 eV per atom
- M_tot: 0.000 μB/atom
- ρ: 7.6 g/cm³
- Symmetry: Cmcm (63)


No. 25
The following is a DFT calculation (PBE-GGA) of SrRuPt3 after structural relaxation.

Structure (POSCAR):
```
SrRuPt3
1.0
4.894 0.000 0.000
0.000 4.894 0.000
0.000 0.000 4.894
Sr Ru Pt
1 1 3
Cartesian
0.000 0.000 0.000
2.447 2.447 2.447
0.000 2.447 2.447
2.447 0.000 2.447
2.447 2.447 0.000
```

- DOS at the Fermi energy: 5.8 states/eV/f.u.
- Energy of formation: 0.300 eV per atom
- M_tot: 0.000 μB/atom
- ρ: 11.0 g/cm³
- Symmetry: Pm-3m (221)